! TaAlB2P GGA-PBE optimized geometry; values from VASP
! M_tot (Bohr magnetons per cell): 0.000
! Calculated formation energy (eV/atom): 1.12
! Electronic total energy (eV/atom): -5.75
! Mass density (kg/m³): 5929
&SYSTEM
  ibrav = 0, nat = 5, ntyp = 4
/
ATOMIC_SPECIES
P 30.97 P.upf
B 10.81 B.upf
Al 26.98 Al.upf
Ta 180.95 Ta.upf
ATOMIC_POSITIONS crystal
P 0.0000 0.0000 0.0000
B 0.0000 0.0000 0.5000
B 0.5000 0.0000 0.0000
Al 0.5000 0.5000 0.5000
Ta 0.0000 0.5000 0.0000
CELL_PARAMETERS angstrom
3.8597 0.0000 0.0000
0.0000 4.8981 0.0000
0.0000 0.0000 3.8597